# 1
First-principles (GGA-PBE) data for a relaxed Nd3GaIr8 crystal, as listed in Alexandria via LeMat-Bulk.

a = 5.4125 Å, b = 5.4125 Å, c = 9.3158 Å
α = 73.11°, β = 73.11°, γ = 60.00°
Last column: nearest neighbours and their distance in Å.
Atoms (fractional coordinates):
Nd  0.6236  0.6236  0.1291  12 Ir 3.17-3.18, 4 Nd 3.39-3.40
Nd  0.0076  0.0076  0.9773  12 Ir 3.06-3.38, 3 Nd 3.40, 1 Ga 3.41
Nd  0.4949  0.4949  0.5154  12 Ir 3.05-3.21, 3 Ga 3.19, 1 Nd 3.39
Ga  0.1371  0.1371  0.5887  6 Ir 2.84-3.13
Ir  0.5613  0.0629  0.8146  6 Ir 2.65-2.72
Ir  0.0604  0.5603  0.3189  6 Ir 2.70-2.71, 1 Ga 2.84
Ir  0.5613  0.5613  0.8146  6 Ir 2.65-2.72
Ir  0.0604  0.0604  0.3189  6 Ir 2.70-2.71, 1 Ga 2.84
Ir  0.8098  0.8098  0.5706  6 Ir 2.65-2.71
Ir  0.3105  0.3105  0.0686  6 Ir 2.70-2.72
Ir  0.0629  0.5613  0.8146  6 Ir 2.65-2.72
Ir  0.5603  0.0604  0.3189  6 Ir 2.70-2.71, 1 Ga 2.84

Properties
- SG: R3m, No. 160

***

# 2
First-principles (GGA-PBE) data for a relaxed BeTlMo2 crystal, as listed in Alexandria via LeMat-Bulk.

a = 4.7861 Å, b = 4.7861 Å, c = 4.8731 Å
α = 61.57°, β = 61.57°, γ = 41.95°
Last column: nearest neighbours and their distance in Å.
Atoms (fractional coordinates):
Be  0.2656  0.2656  0.3614  4 Mo 2.43-2.48, 3 Tl 2.57-2.58
Tl  0.5379  0.5379  0.4167  3 Be 2.57-2.58, 1 Mo 2.83
Mo  0.9622  0.9622  0.9802  2 Be 2.48, 2 Mo 2.70
Mo  0.7342  0.7342  0.7417  2 Be 2.43, 2 Mo 2.70

Properties
- Energy relative to the lowest polymorph listed for this composition: 180 meV per atom
- SG: Cm, No. 8

***

# 3
First-principles (GGA-PBE) data for a relaxed Rb3SnP2O8 crystal, as listed in Alexandria via LeMat-Bulk.

a = 5.7327 Å, b = 5.7327 Å, c = 8.2551 Å
α = 90.00°, β = 90.00°, γ = 120.00°
Last column: nearest neighbours and their distance in Å.
Atoms (fractional coordinates):
Rb  0.3333  0.6667  0.7532  7 O 2.77-2.97
Rb  0.6667  0.3333  0.2468  7 O 2.77-2.97
Rb  0.0000  0.0000  0.0000  12 O 3.32-3.39
Sn  0.0000  0.0000  0.5000  6 O 2.27
P  0.3333  0.6667  0.2741  4 O 1.53-1.57
P  0.6667  0.3333  0.7259  4 O 1.53-1.57
O  0.3333  0.6667  0.0890  1 P 1.53
O  0.6667  0.3333  0.9110  1 P 1.53
O  0.1834  0.8166  0.3365  1 P 1.57
O  0.8166  0.1834  0.6635  1 P 1.57
O  0.1834  0.3669  0.3365  1 P 1.57
O  0.8166  0.6331  0.6635  1 P 1.57
O  0.6331  0.8166  0.3365  1 P 1.57
O  0.3669  0.1834  0.6635  1 P 1.57

Properties
- SG: P-3m1, No. 164

***

# 4
First-principles (GGA-PBE) data for a relaxed PmHoTmTh crystal, as listed in Alexandria via LeMat-Bulk.

a = 3.5832 Å, b = 3.5829 Å, c = 11.6582 Å
α = 90.00°, β = 98.85°, γ = 119.99°
Last column: nearest neighbours and their distance in Å.
Atoms (fractional coordinates):
Pm  0.9692  0.3829  0.3673  6 Pm 3.58, 3 Tm 3.60, 3 Ho 3.60
Ho  0.4740  0.1347  0.6240  3 Th 3.48, 6 Ho 3.58, 3 Pm 3.60
Tm  0.1321  0.9641  0.1108  3 Th 3.47, 6 Tm 3.58, 3 Pm 3.60
Th  0.3027  0.5491  0.8676  3 Tm 3.47, 3 Ho 3.48, 6 Th 3.58

Properties
- Energy relative to the lowest polymorph listed for this composition: 0 meV per atom
- SG: R3m, No. 160

***

# 5
First-principles (GGA-PBE) data for a relaxed AlMoP4 crystal, as listed in Alexandria via LeMat-Bulk.

a = 4.9721 Å, b = 4.9721 Å, c = 4.9721 Å
α = 60.00°, β = 60.00°, γ = 60.00°
Last column: nearest neighbours and their distance in Å.
Atoms (fractional coordinates):
Al  0.2500  0.2500  0.2500  12 P 2.92, 4 Mo 3.04
Mo  0.0000  0.0000  0.0000  12 P 2.91, 4 Al 3.04
P  0.6259  0.6259  0.1222  6 P 2.47-2.50
P  0.6259  0.1222  0.6259  6 P 2.47-2.50
P  0.6259  0.6259  0.6259  6 P 2.47-2.50
P  0.1222  0.6259  0.6259  6 P 2.47-2.50

Properties
- SG: F-43m, No. 216

***

# 6
First-principles (GGA-PBE) data for a relaxed BaCd2InAg crystal, as listed in Alexandria via LeMat-Bulk.

a = 4.6668 Å, b = 4.8472 Å, c = 7.1555 Å
α = 109.80°, β = 109.03°, γ = 90.00°
Last column: nearest neighbours and their distance in Å.
Atoms (fractional coordinates):
Ba  0.4389  0.4389  0.8778  4 Ag 3.64, 6 Cd 3.66-3.82, 4 In 3.93-3.98
Cd  0.6991  0.1991  0.3982  2 Ag 2.92, 2 Cd 2.98
Cd  0.0521  0.0521  0.1042  1 Ag 2.83, 2 Cd 2.98, 2 In 3.02
In  0.1941  0.6941  0.3883  2 Ag 2.88, 2 Cd 3.02
Ag  0.8279  0.8279  0.6558  3 Cd 2.83-2.92, 2 In 2.88

Properties
- Energy relative to the lowest polymorph listed for this composition: 0 meV per atom
- SG: Imm2, No. 44

***

# 7
First-principles (GGA-PBE) data for a relaxed Th2ScTe2P2 crystal, as listed in Alexandria via LeMat-Bulk.

a = 4.8521 Å, b = 4.8521 Å, c = 8.7318 Å
α = 106.13°, β = 106.13°, γ = 90.00°
Last column: nearest neighbours and their distance in Å.
Atoms (fractional coordinates):
Th  0.3909  0.3909  0.7817  4 P 2.99, 1 Te 3.30
Th  0.6091  0.6091  0.2183  4 P 2.99, 1 Te 3.30
Sc  0.0000  0.0000  0.0000  4 P 2.43
Te  0.1854  0.1854  0.3708  1 Sc 2.98, 1 Th 3.30
Te  0.8146  0.8146  0.6292  1 Sc 2.98, 1 Th 3.30
P  0.0000  0.5000  0.0000  2 Sc 2.43
P  0.5000  0.0000  0.0000  2 Sc 2.43

Properties
- SG: I4/mmm, No. 139

***

# 8
First-principles (GGA-PBE) data for a relaxed Ti2NbGe crystal, as listed in Alexandria via LeMat-Bulk.

a = 3.3630 Å, b = 3.3630 Å, c = 5.8573 Å
α = 90.00°, β = 90.00°, γ = 90.00°
Last column: nearest neighbours and their distance in Å.
Atoms (fractional coordinates):
Nb  0.5000  0.5000  0.0000  8 Ti 2.82, 2 Ge 2.93
Ge  0.5000  0.5000  0.5000  8 Ti 2.77, 2 Nb 2.93
Ti  0.0000  0.0000  0.7423  4 Ge 2.77, 4 Nb 2.82, 2 Ti 2.84-3.02
Ti  0.0000  0.0000  0.2577  4 Ge 2.77, 4 Nb 2.82, 2 Ti 2.84-3.02

Properties
- SG: P4/mmm, No. 123

***

| no. | total magnetization (μB per cell) | raw total energy (eV/atom) |
| --- | --- | --- |
| 1 | 0.0 | -7.84 |
| 2 | 0.0 | -6.40 |
| 3 | 0.0 | -6.13 |
| 4 | 0.0 | -5.29 |
| 5 | 0.0 | -5.39 |
| 6 | 0.0 | -2.15 |
| 7 | 0.6 | -6.64 |
| 8 | 0.0 | -8.02 |